Nd4AlCdHg2: optimized geometry, PBE.

Structure (extended XYZ):
```
8
Lattice="-1.122 5.088 -1.450 -5.021 1.341 -1.496 -4.026 4.099 7.414" Properties=species:S:1:pos:R:3 pbc="T T T"
Nd -5.807 5.979 5.301
Nd -6.903 7.181 0.282
Nd -3.265 3.347 4.186
Nd -4.362 4.550 -0.832
Al -5.084 5.264 2.234
Cd 0.000 0.000 0.000
Hg -7.643 7.913 3.421
Hg -2.526 2.616 1.047
```

total magnetic moment	1.4	μB/f.u.
volume	224.03	Å³/cell
calculated total energy	-27.4	eV for the cell shown
space group	R-3m (166)
formation enthalpy at 0 K	-0.383	eV/atom